# 1
# CoBN2O

A relaxed structure of CoBN2O (PBE with a Hubbard U, Alexandria via LeMat-Bulk).

Summary:
V = 51 Å³ per cell
total DFT energy (no corrections) = -29.87 eV/cell
spin magnetization = 3.2 μB/cell

The structure in POSCAR format:
```
CoBN2O
1.0
2.9725 0.0000 0.0000
0.0000 2.9725 0.0000
0.0000 0.0000 5.7297
Co B N O
1 1 2 1
direct
0.0000 0.0000 0.0000
0.5000 0.5000 0.5000
0.0000 0.5000 0.5000
0.5000 0.0000 0.5000
0.5000 0.5000 0.0000
```

***

# 2
# CoBNO2

A relaxed structure of CoBNO2 (PBE with a Hubbard U, Alexandria via LeMat-Bulk).

Summary:
V = 49 Å³ per cell
total DFT energy (no corrections) = -23.42 eV/cell
spin magnetization = 0.1 μB/cell

The structure in POSCAR format:
```
CoBNO2
1.0
3.7929 0.0000 0.0000
0.0000 3.7929 0.0000
0.0000 0.0000 3.3806
Co B N O
1 1 1 2
direct
0.0000 0.0000 0.0000
0.5000 0.5000 0.5000
0.0000 0.0000 0.5000
0.0000 0.5000 0.0000
0.5000 0.0000 0.0000
```

***

# 3
# CoBN2O

A relaxed structure of CoBN2O (PBE with a Hubbard U, Alexandria via LeMat-Bulk).

Summary:
V = 48 Å³ per cell
total DFT energy (no corrections) = -23.61 eV/cell
spin magnetization = 0.1 μB/cell

The structure in POSCAR format:
```
CoBN2O
1.0
3.5165 0.0000 0.0000
0.0000 3.5165 0.0000
0.0000 0.0000 3.8940
Co B N O
1 1 2 1
direct
0.0000 0.0000 0.0000
0.5000 0.5000 0.5000
0.0000 0.5000 0.0000
0.5000 0.0000 0.0000
0.0000 0.0000 0.5000
```

***

# 4
# CoBNO2

A relaxed structure of CoBNO2 (PBE with a Hubbard U, Alexandria via LeMat-Bulk).

Summary:
V = 41 Å³ per cell
total DFT energy (no corrections) = -29.44 eV/cell
spin magnetization = 4.4 μB/cell

The structure in POSCAR format:
```
CoBNO2
1.0
3.7315 0.0000 0.0000
0.0000 3.7315 0.0000
0.0000 0.0000 2.9196
Co B N O
1 1 1 2
direct
0.0000 0.0000 0.0000
0.5000 0.5000 0.5000
0.5000 0.5000 0.0000
0.0000 0.5000 0.5000
0.5000 0.0000 0.5000
```